(1)
The following is a PBE-GGA calculation of a relaxed structure of RbBeSiAu, from OQMD via LeMat-Bulk.

The space group is F-43m (No. 216) and the conventional cell measures 6.824, 6.824 and 6.824 Å, with angles of 90.00, 90.00 and 90.00 degrees. The asymmetric unit holds Rb at (0.000, 0.000, 0.000), Be at (0.250, 0.250, 0.750), Si at (0.250, 0.250, 0.250) and Au at (0.000, 0.000, 0.500).

The value obtained for the electronic total energy is -0.09219 hartree per atom.


(2)
The following is a PBE-GGA calculation of a relaxed structure of RbBeSiAu, from OQMD via LeMat-Bulk.

The space group is F-43m (No. 216) and the conventional cell measures 7.001, 7.001 and 7.001 Å, with angles of 90.00, 90.00 and 90.00 degrees. The asymmetric unit holds Rb at (0.000, 0.000, 0.000), Be at (0.250, 0.250, 0.250), Si at (0.000, 0.000, 0.500) and Au at (0.250, 0.250, 0.750).

The value obtained for the electronic total energy is -0.09114 hartree per atom.


(3)
The following is a PBE-GGA calculation of a relaxed structure of RbBeSiAu, from OQMD via LeMat-Bulk.

The space group is F-43m (No. 216) and the conventional cell measures 7.024, 7.024 and 7.024 Å, with angles of 90.00, 90.00 and 90.00 degrees. The asymmetric unit holds Rb at (0.000, 0.000, 0.000), Be at (0.000, 0.000, 0.500), Si at (0.250, 0.250, 0.250) and Au at (0.250, 0.250, 0.750).

The value obtained for the electronic total energy is -0.08844 hartree per atom.